Rb2TlCo2F7, relaxed, DFT GGA+U; calculated total energy = -4.5978 eV/atom; space-group type = C2/m; V = 16.4 A^3/atom; crystal system = monoclinic
1.0
4.205 -0.002 0.014
0.003 4.205 0.014
2.080 2.078 11.151
F Rb Co Tl
7 2 2 1
direct
0.405 0.905 0.189
0.595 0.095 0.811
0.095 0.595 0.811
0.688 0.688 0.628
0.905 0.405 0.189
0.500 0.500 0.000
0.312 0.312 0.372
0.816 0.816 0.370
0.184 0.184 0.630
0.595 0.595 0.811
0.405 0.405 0.189
0.000 0.000 0.000